Entry i
A relaxed structure of Cs4K2Pd. Source: the Alexandria database, functional PBE.

Geometry as POSCAR:
```
Cs4K2Pd
1.0
-7.835 7.835 4.255
7.835 -7.835 4.255
7.835 7.835 -4.255
Cs K Pd
8 4 2
Cartesian
13.038 1.360 0.000 Cs
1.360 2.632 0.000 Cs
9.195 5.203 0.000 Cs
5.203 6.475 0.000 Cs
2.632 1.360 4.255 Cs
-1.360 2.632 4.255 Cs
6.475 5.203 4.255 Cs
-5.203 6.475 4.255 Cs
6.339 1.497 0.000 K
6.339 -1.497 4.255 K
1.497 9.332 0.000 K
1.497 6.339 4.255 K
0.000 0.000 2.127 Pd
0.000 0.000 6.382 Pd
```

Values from the calculation:
Size of the total moment (μB per cell): 0.00
D(E_F) (states/eV/f.u.): 3.84

---

Entry ii
A relaxed structure of Cs4K2Pd. Source: the Alexandria database, functional PBE.

Geometry as POSCAR:
```
Cs4K2Pd
1.0
-3.462 3.462 12.310
3.462 -3.462 12.310
3.462 3.462 -12.310
Cs K Pd
4 2 1
Cartesian
3.462 0.000 0.000 Cs
0.000 0.000 3.402 Cs
0.000 3.462 0.000 Cs
0.000 0.000 21.217 Cs
0.000 0.000 8.013 K
0.000 0.000 16.606 K
0.000 0.000 0.000 Pd
```

Values from the calculation:
Size of the total moment (μB per cell): 0.00
D(E_F) (states/eV/f.u.): 3.24

---

Energies, relative to the best one, in eV/atom: entry i 0.000; entry ii 0.010.

---

Entry i
A relaxed structure of CsK2Pd. Source: the Alexandria database, functional PBE.

Geometry as POSCAR:
```
CsK2Pd
1.0
4.673 -2.705 0.000
4.673 2.705 0.000
-3.109 0.000 9.007
Cs K Pd
1 2 1
Cartesian
0.000 0.000 0.000 Cs
0.022 0.000 6.001 K
3.139 0.000 3.733 K
6.252 0.000 5.183 Pd
```

Values from the calculation:
Size of the total moment (μB per cell): 0.00
D(E_F) (states/eV/f.u.): 1.79

---

Entry ii
A relaxed structure of CsK2Pd. Source: the Alexandria database, functional PBE.

Geometry as POSCAR:
```
CsK2Pd
1.0
0.000 4.364 4.364
4.364 0.000 4.364
4.364 4.364 0.000
Cs K Pd
1 2 1
Cartesian
0.000 0.000 0.000 Cs
2.182 2.182 2.182 K
6.546 6.546 6.546 K
4.364 4.364 4.364 Pd
```

Values from the calculation:
Size of the total moment (μB per cell): 0.00
D(E_F) (states/eV/f.u.): 4.30

---

Energies, relative to the best one, in eV/atom: entry i 0.000; entry ii 0.090.

---

Entry i
A relaxed structure of CsK3Pd. Source: the Alexandria database, functional PBE.

Geometry as POSCAR:
```
CsK3Pd
1.0
7.352 0.000 0.000
0.000 7.352 0.000
0.000 0.000 7.352
Cs K Pd
1 3 1
Cartesian
0.000 0.000 0.000 Cs
0.000 0.000 3.676 K
0.000 3.676 0.000 K
3.676 0.000 0.000 K
3.676 3.676 3.676 Pd
```

Values from the calculation:
Size of the total moment (μB per cell): 0.00
D(E_F) (states/eV/f.u.): 2.29

---

Entry ii
A relaxed structure of CsK3Pd. Source: the Alexandria database, functional PBE.

Geometry as POSCAR:
```
CsK3Pd
1.0
10.507 0.000 0.000
0.000 4.961 0.000
-5.223 0.000 12.054
Cs K Pd
2 6 2
Cartesian
0.144 1.240 5.207 Cs
5.140 3.721 6.848 Cs
-3.660 1.240 10.949 K
-0.859 3.721 9.391 K
3.067 3.721 1.804 K
2.217 1.240 10.251 K
6.143 1.240 2.663 K
8.944 3.721 1.105 K
-0.447 1.240 11.904 Pd
5.731 3.721 0.150 Pd
```

Values from the calculation:
Size of the total moment (μB per cell): 0.00
D(E_F) (states/eV/f.u.): 3.79

---

Entry iii
A relaxed structure of CsK3Pd. Source: the Alexandria database, functional PBE.

Geometry as POSCAR:
```
CsK3Pd
1.0
6.592 0.000 0.000
0.000 6.592 0.000
0.000 0.000 6.592
Cs K Pd
1 3 1
Cartesian
0.000 0.000 0.000 Cs
0.000 3.296 3.296 K
3.296 0.000 3.296 K
3.296 3.296 0.000 K
3.296 3.296 3.296 Pd
```

Values from the calculation:
Size of the total moment (μB per cell): 0.00
D(E_F) (states/eV/f.u.): 1.64

---

Energies, relative to the best one, in eV/atom: entry i 0.837; entry ii 0.000; entry iii 0.050.

---

Entry i
A relaxed structure of CsK2TlPd. Source: the Alexandria database, functional PBE.

Geometry as POSCAR:
```
CsK2TlPd
1.0
6.694 0.000 0.000
0.000 6.694 0.000
0.000 0.000 5.364
Cs K Tl Pd
1 2 1 1
Cartesian
0.000 0.000 0.000 Cs
0.000 3.347 2.682 K
3.347 0.000 2.682 K
3.347 3.347 2.682 Tl
3.347 3.347 0.000 Pd
```

Values from the calculation:
Size of the total moment (μB per cell): 0.00
D(E_F) (states/eV/f.u.): 3.34

---

Entry ii
A relaxed structure of CsK2TlPd. Source: the Alexandria database, functional PBE.

Geometry as POSCAR:
```
CsK2TlPd
1.0
6.416 0.000 0.000
0.000 6.416 0.000
0.000 0.000 5.468
Cs K Tl Pd
1 2 1 1
Cartesian
0.000 0.000 0.000 Cs
0.000 3.208 2.734 K
3.208 0.000 2.734 K
3.208 3.208 0.000 Tl
3.208 3.208 2.734 Pd
```

Values from the calculation:
Size of the total moment (μB per cell): 0.00
D(E_F) (states/eV/f.u.): 3.19

---

Energies, relative to the best one, in eV/atom: entry i 0.135; entry ii 0.000.

---

Entry i
A relaxed structure of Cs2KPt. Source: the Alexandria database, functional PBE.

Geometry as POSCAR:
```
Cs2KPt
1.0
2.517 1.453 12.891
-2.517 1.453 12.891
0.000 -2.907 12.891
Cs K Pt
2 1 1
Cartesian
0.000 0.000 4.783 Cs
0.000 0.000 33.889 Cs
0.000 0.000 0.000 K
0.000 0.000 19.336 Pt
```

Values from the calculation:
Size of the total moment (μB per cell): 0.22
D(E_F) (states/eV/f.u.): 9.02

---

Entry ii
A relaxed structure of Cs2KPt. Source: the Alexandria database, functional PBE.

Geometry as POSCAR:
```
Cs2KPt
1.0
0.000 4.345 4.345
4.345 0.000 4.345
4.345 4.345 0.000
Cs K Pt
2 1 1
Cartesian
2.173 2.173 2.173 Cs
6.518 6.518 6.518 Cs
0.000 0.000 0.000 K
4.345 4.345 4.345 Pt
```

Values from the calculation:
Size of the total moment (μB per cell): 0.00
D(E_F) (states/eV/f.u.): 4.10

---

Energies, relative to the best one, in eV/atom: entry i 0.000; entry ii 0.110.

---

Entry i
A relaxed structure of CsKPt2. Source: the Alexandria database, functional PBE.

Geometry as POSCAR:
```
CsKPt2
1.0
-2.500 2.500 11.399
2.500 -2.500 11.399
2.500 2.500 -11.399
Cs K Pt
2 2 4
Cartesian
0.000 0.000 0.000 Cs
0.000 2.500 5.700 Cs
2.500 0.000 5.700 K
0.000 0.000 11.399 K
0.370 1.250 2.850 Pt
-1.250 2.130 8.549 Pt
-0.370 3.750 2.850 Pt
1.250 2.870 8.549 Pt
```

Values from the calculation:
Size of the total moment (μB per cell): 0.00
D(E_F) (states/eV/f.u.): 1.85

---

Entry ii
A relaxed structure of CsKPt2. Source: the Alexandria database, functional PBE.

Geometry as POSCAR:
```
CsKPt2
1.0
2.236 -8.641 0.000
2.236 8.641 0.000
0.000 0.000 7.814
Cs K Pt
2 2 4
Cartesian
2.236 6.695 5.861 Cs
2.236 -6.695 1.954 Cs
2.236 2.305 5.861 K
2.236 -2.305 1.954 K
2.236 4.320 0.667 Pt
2.236 4.320 3.240 Pt
2.236 -4.320 4.574 Pt
2.236 -4.320 7.147 Pt
```

Values from the calculation:
Size of the total moment (μB per cell): 0.00
D(E_F) (states/eV/f.u.): 4.82

---

Energies, relative to the best one, in eV/atom: entry i 0.501; entry ii 0.000.